Record 1
## GdOF (GGA-PBEsol)

Data for an optimized crystal structure of GdOF.

abc: 3.8441 3.8441 5.6267
angles: 90.00 90.00 90.00
Fractional coordinates of all 6 atoms:
F: 0.5000 0.0000 0.3940
O: 0.5000 0.5000 0.0000
O: 0.0000 0.0000 0.0000
Gd: 0.0000 0.5000 0.2031
F: 0.0000 0.5000 0.6060
Gd: 0.5000 0.0000 0.7969

Results
The formation energy from raw total energies comes out at -3.761 eV per atom.

=====

Record 2
## NaSi2Rh2 (GGA-PBEsol)

Data for an optimized crystal structure of NaSi2Rh2.

abc: 4.0311 4.0311 5.6612
angles: 110.86 110.86 90.00
Fractional coordinates of all 5 atoms:
Si: 0.6257 0.6257 0.2513
Rh: 0.2500 0.7500 0.5000
Rh: 0.7500 0.2500 0.5000
Na: 0.0000 0.0000 0.0000
Si: 0.3743 0.3743 0.7487

Results
The formation energy from raw total energies comes out at -0.664 eV per atom.

=====

Q: The highest formation energy from raw total energies belongs to which entry?
A: NaSi2Rh2

=====

Repeat the first record exactly.
## GdOF (GGA-PBEsol)

Data for an optimized crystal structure of GdOF.

abc: 3.8441 3.8441 5.6267
angles: 90.00 90.00 90.00
Fractional coordinates of all 6 atoms:
F: 0.5000 0.0000 0.3940
O: 0.5000 0.5000 0.0000
O: 0.0000 0.0000 0.0000
Gd: 0.0000 0.5000 0.2031
F: 0.0000 0.5000 0.6060
Gd: 0.5000 0.0000 0.7969

Results
The formation energy from raw total energies comes out at -3.761 eV per atom.